# 1
Below is GePtPb after structural relaxation, with properties calculated at the PBE-GGA level.

The structure in POSCAR format:
```
GePtPb
1.0
3.704 0.000 0.000
-1.852 3.206 0.000
0.000 0.000 11.388
Pb Pt Ge
2 2 2
Direct
0.112 0.224 0.163
0.112 0.224 0.837
0.445 0.891 0.000
0.444 0.887 0.500
0.777 0.554 0.372
0.777 0.554 0.628
```

Electronic total energy ... -4.8868 eV/atom
N(E_F) ... 3.265 states/eV per cell

# 2
Below is NbInN2F after structural relaxation, with properties calculated at the PBE-GGA level.

The structure in POSCAR format:
```
NbInN2F
1.0
-0.559 -0.299 -4.154
-4.152 -0.285 0.579
-0.308 3.987 -0.246
In N F Nb
1 2 1 1
Direct
0.000 0.000 0.000
0.000 0.500 0.000
0.500 0.000 0.000
0.000 0.000 0.500
0.500 0.500 0.500
```

Electronic total energy ... -5.6018 eV/atom
N(E_F) ... 3.414 states/eV per cell
Raw formation energy ... 64.1 kJ/mol of atoms

# 3
Below is Zn2In2Hg after structural relaxation, with properties calculated at the PBE-GGA level.

The structure in POSCAR format:
```
Zn2In2Hg
1.0
7.138 0.000 0.000
0.000 7.138 0.000
0.000 0.000 4.380
In Zn Hg
4 4 2
Direct
0.828 0.328 0.500
0.172 0.672 0.500
0.328 0.172 0.500
0.672 0.828 0.500
0.372 0.872 0.000
0.872 0.628 0.000
0.128 0.372 0.000
0.628 0.128 0.000
0.500 0.500 0.000
0.000 0.000 0.000
```

Electronic total energy ... -1.5978 eV/atom
N(E_F) ... 3.216 states/eV per cell

# 4
Below is CoAg2Br after structural relaxation, with properties calculated at the PBE-GGA level.

The structure in POSCAR format:
```
CoAg2Br
1.0
-1.242 -2.492 1.923
0.387 -2.172 -2.565
6.119 -1.413 2.121
Co Br Ag
1 1 2
Direct
0.500 0.500 0.750
0.500 0.500 0.250
0.000 0.000 0.960
0.000 0.000 0.540
```

Electronic total energy ... -3.2340 eV/atom
N(E_F) ... 1.782 states/eV per cell
Raw formation energy ... 37.3 kJ/mol of atoms

# 5
Below is Pr3Nd3Co4 after structural relaxation, with properties calculated at the PBE-GGA level.

The structure in POSCAR format:
```
Pr3Nd3Co4
1.0
-4.048 -1.381 -0.411
1.821 -3.429 -6.416
1.730 -6.210 3.832
Nd Pr Co
3 3 4
Direct
0.500 0.672 0.671
0.500 0.828 0.172
0.500 0.329 0.328
0.000 0.501 0.000
0.000 0.000 0.499
0.500 0.171 0.829
0.000 0.607 0.393
0.000 0.892 0.896
0.000 0.104 0.108
0.000 0.396 0.604
```

Electronic total energy ... -5.6890 eV/atom
N(E_F) ... 7.713 states/eV per cell

# 6
Below is YTc2P2 after structural relaxation, with properties calculated at the PBE-GGA level.

The structure in POSCAR format:
```
YTc2P2
1.0
-1.020 -1.011 -3.910
-1.791 -3.501 1.373
-2.703 4.546 1.749
Tc P Y
2 2 1
Direct
0.250 0.750 0.500
0.750 0.250 0.500
0.631 0.631 0.263
0.369 0.369 0.737
0.000 0.000 0.000
```

Electronic total energy ... -8.5070 eV/atom
N(E_F) ... 4.221 states/eV per cell

# 7
Below is AcPuH after structural relaxation, with properties calculated at the PBE-GGA level.

The structure in POSCAR format:
```
AcPuH
1.0
3.754 0.000 0.000
-1.877 3.251 0.000
0.000 0.000 6.014
Pu Ac H
1 1 1
Direct
0.000 0.000 0.898
0.667 0.333 0.411
0.333 0.667 0.691
```

Electronic total energy ... -7.2429 eV/atom
N(E_F) ... 9.658 states/eV per cell

# 8
Below is Tb2Y6Ho3 after structural relaxation, with properties calculated at the PBE-GGA level.

The structure in POSCAR format:
```
Tb2Y6Ho3
1.0
-0.408 3.521 -0.315
-2.058 1.766 2.305
24.374 6.380 19.626
Y Ho Tb
6 3 2
Direct
0.818 0.818 0.546
0.091 0.091 0.728
0.182 0.182 0.454
0.909 0.909 0.272
0.636 0.636 0.091
0.364 0.364 0.909
0.727 0.727 0.819
0.273 0.273 0.181
0.000 0.000 0.000
0.546 0.546 0.363
0.454 0.454 0.637
```

Electronic total energy ... -5.5931 eV/atom
N(E_F) ... 16.549 states/eV per cell